Below is crystalline CdRuPb2 at its relaxed geometry, with properties calculated at the PBE-GGA level.

Values from the calculation:
ρ: 11.4 g/cm³
space group: No. 47

Structure (POSCAR):
```
CdRuPb2
1.0
3.638 0.000 0.000
0.000 4.671 0.000
0.000 0.000 5.390
Cd Ru Pb
1 1 2
Direct
0.000 0.000 0.000
0.500 0.000 0.500
0.000 0.500 0.500
0.500 0.500 0.000
```

=====

Below is crystalline Cd2RuPb at its relaxed geometry, with properties calculated at the PBE-GGA level.

Values from the calculation:
ρ: 10.6 g/cm³
space group: No. 65

Structure (POSCAR):
```
Cd2RuPb
1.0
2.830 -4.281 0.000
2.830 4.281 0.000
0.000 0.000 3.434
Cd Ru Pb
2 1 1
Direct
0.000 0.500 0.000
0.500 0.000 0.000
0.000 0.000 0.500
0.500 0.500 0.500
```

=====

Below is crystalline CdRu2Pb at its relaxed geometry, with properties calculated at the PBE-GGA level.

Values from the calculation:
offset from the most stable computed form: 406 meV/atom
ρ: 11.8 g/cm³
space group: No. 216

Structure (POSCAR):
```
CdRu2Pb
1.0
0.000 3.320 3.320
3.320 0.000 3.320
3.320 3.320 0.000
Cd Ru Pb
1 2 1
Direct
0.000 0.000 0.000
0.500 0.500 0.500
0.750 0.750 0.750
0.250 0.250 0.250
```

=====

Below is crystalline CdRu2Pb at its relaxed geometry, with properties calculated at the PBE-GGA level.

Values from the calculation:
offset from the most stable computed form: 157 meV/atom
ρ: 12.4 g/cm³
space group: No. 225

Structure (POSCAR):
```
CdRu2Pb
1.0
0.000 3.272 3.272
3.272 0.000 3.272
3.272 3.272 0.000
Cd Ru Pb
1 2 1
Direct
0.000 0.000 0.000
0.250 0.250 0.250
0.750 0.750 0.750
0.500 0.500 0.500
```

=====

no.,E_form (eV per atom)
1,0.55
2,0.40
3,0.69
4,0.44